No. 1
A relaxed CrFe2Rh2 crystal, computed with PBE-GGA.

Geometry as extended XYZ:
```
10
Lattice="4.430 -2.314 0.000 4.430 2.314 0.000 -2.486 0.000 6.325" Properties=species:S:1:pos:R:3 pbc="T T T"
Cr 2.565 1.493 4.744
Cr 3.808 -1.493 1.581
Fe 3.430 0.722 0.311
Fe 4.187 0.722 2.851
Fe 2.187 -0.722 3.474
Fe 2.944 -0.722 6.014
Rh 0.105 0.738 4.110
Rh 1.348 -0.738 0.948
Rh 5.026 0.738 5.377
Rh 6.269 -0.738 2.215
```

polymorph energy (0 for the lowest one): 0 kJ/mol of formula units
VASP energy: -83.01 eV for the cell shown
ΔH_f (0 K): -50 meV per atom

***

No. 2
A relaxed Cr3FeRh4 crystal, computed with PBE-GGA.

Geometry as extended XYZ:
```
8
Lattice="-1.898 1.898 7.277 1.898 -1.898 7.277 1.898 1.898 -7.277" Properties=species:S:1:pos:R:3 pbc="T T T"
Cr 0.000 0.000 0.000
Cr 0.000 0.000 3.659
Cr 0.000 0.000 10.895
Fe 0.000 0.000 7.277
Rh 1.898 0.000 1.860
Rh 1.898 0.000 5.417
Rh 0.000 1.898 1.860
Rh 0.000 1.898 5.417
```

VASP energy: -67.43 eV for the cell shown
ΔH_f (0 K): -86 meV per atom

***

No. 3
A relaxed Cr2FeRh crystal, computed with PBE-GGA.

Geometry as extended XYZ:
```
4
Lattice="2.568 0.000 0.000 0.000 3.836 0.000 -0.880 0.000 4.994" Properties=species:S:1:pos:R:3 pbc="T T T"
Cr 0.000 0.000 0.000
Cr 0.667 1.918 1.198
Fe 1.767 0.000 2.377
Rh 0.529 1.918 3.702
```

polymorph energy (0 for the lowest one): 28 kJ/mol of formula units
VASP energy: -34.60 eV for the cell shown
ΔH_f (0 K): 115 meV per atom

***

No. 4
A relaxed Cr2FeRh crystal, computed with PBE-GGA.

Geometry as extended XYZ:
```
4
Lattice="2.910 0.000 0.000 0.000 2.910 0.000 0.000 0.000 5.911" Properties=species:S:1:pos:R:3 pbc="T T T"
Cr 0.000 0.000 0.000
Cr 1.455 1.455 1.286
Fe 0.000 0.000 2.667
Rh 1.455 1.455 4.255
```

polymorph energy (0 for the lowest one): 9 kJ/mol of formula units
VASP energy: -34.80 eV for the cell shown
ΔH_f (0 K): 66 meV per atom